(1)
Material: MnSb2PdI
Method: DFT, PBE
State: optimized geometry

Cell and atoms, written as POSCAR:
```
MnSb2PdI
1.0
5.1239 0.0000 0.0000
0.0000 5.1239 0.0000
0.0000 0.0000 5.3845
Mn Sb Pd I
1 2 1 1
Direct
0.0000 0.0000 0.0000
0.0000 0.5000 0.5000
0.5000 0.0000 0.5000
0.5000 0.5000 0.5000
0.5000 0.5000 0.0000
```

Formation energy (no corrections) ... 14.880 kcal/mol of atoms
D(E_F) ... 4.115 states/eV/f.u.
Energy ... -4.19 eV per atom
Energy above the lowest structure with this stoichiometry ... 57 meV per atom

(2)
Material: MnSbPdI2
Method: DFT, PBE
State: optimized geometry

Cell and atoms, written as POSCAR:
```
MnSbPdI2
1.0
5.4772 0.0000 0.0000
0.0000 5.4772 0.0000
0.0000 0.0000 5.3479
Mn Sb Pd I
1 1 1 2
Direct
0.0000 0.0000 0.0000
0.5000 0.5000 0.0000
0.5000 0.5000 0.5000
0.0000 0.5000 0.5000
0.5000 0.0000 0.5000
```

Formation energy (no corrections) ... 11.814 kcal/mol of atoms
D(E_F) ... 1.998 states/eV/f.u.
Energy ... -3.80 eV per atom
Energy above the lowest structure with this stoichiometry ... 0 meV per atom

(3)
Material: MnSb2PdI
Method: DFT, PBE
State: optimized geometry

Cell and atoms, written as POSCAR:
```
MnSb2PdI
1.0
4.9714 0.0000 0.0000
0.0000 4.9714 0.0000
0.0000 0.0000 5.4588
Mn Sb Pd I
1 2 1 1
Direct
0.0000 0.0000 0.0000
0.0000 0.5000 0.0000
0.5000 0.0000 0.0000
0.5000 0.5000 0.5000
0.0000 0.0000 0.5000
```

Formation energy (no corrections) ... 13.567 kcal/mol of atoms
D(E_F) ... 3.967 states/eV/f.u.
Energy ... -4.24 eV per atom
Energy above the lowest structure with this stoichiometry ... 0 meV per atom

(4)
Material: Sc2MnPdI
Method: DFT, PBE
State: optimized geometry

Cell and atoms, written as POSCAR:
```
Sc2MnPdI
1.0
5.2689 0.0000 0.0000
0.0000 5.2689 0.0000
0.0000 0.0000 4.9263
Sc Mn Pd I
2 1 1 1
Direct
0.0000 0.5000 0.0000
0.5000 0.0000 0.0000
0.0000 0.0000 0.5000
0.5000 0.5000 0.5000
0.5000 0.5000 0.0000
```

Formation energy (no corrections) ... 14.687 kcal/mol of atoms
D(E_F) ... 5.691 states/eV/f.u.
Energy ... -5.08 eV per atom